Entry from OQMD: an optimized crystal structure of Tm3In3IrPd (PBE-GGA).

abc: 7.6301 7.6301 3.6002
angles: 90.00 90.00 120.00
Closest atoms and distances in Å follow each position.
Space group P-6 (No. 174)
Asymmetric unit:
Tm1 0.0118 0.5855 0.0000 [3 per cell]  2 Ir 2.85, 2 Pd 2.97
In1 0.2353 0.0022 0.5000 [3 per cell]  1 Pd 2.98, 1 Ir 3.00, 2 In 3.10, 6 Tm 3.19-3.34
Ir1 0.3333 0.6667 0.5000 [1 per cell]  6 Tm 2.85, 3 In 3.00
Pd1 0.6667 0.3333 0.5000 [1 per cell]  6 Tm 2.97, 3 In 2.98

Calculated values
**Total magnetization**: 0.003 Bohr magnetons per cell
**Crystal system**: hexagonal
**Calculated total energy**: -5.18 eV/atom